First-principles (PBE) data for crystalline PuPa9Ga2 at its relaxed geometry, as listed in Alexandria via LeMat-Bulk.

Structure (POSCAR):
```
PuPa9Ga2
1.0
4.513 0.000 0.000
0.000 4.513 0.000
0.000 0.000 13.787
Pu Pa Ga
1 9 2
Direct
0.000 0.000 0.000
0.000 0.500 0.174
0.000 0.500 0.500
0.000 0.500 0.826
0.500 0.000 0.174
0.500 0.000 0.500
0.500 0.000 0.826
0.500 0.500 0.000
0.500 0.500 0.333
0.500 0.500 0.667
0.000 0.000 0.338
0.000 0.000 0.662
```

Properties
Space-group type   P4/mmm (123)
Formation enthalpy at 0 K   -101.4 kJ/mol of formula units
Density   14562 kg/m³
DFT total energy   -8.908 eV per atom

First-principles (PBE) data for crystalline VNi4Ge2 at its relaxed geometry, as listed in Alexandria via LeMat-Bulk.

Structure (POSCAR):
```
VNi4Ge2
1.0
-2.161 2.161 6.005
2.161 -2.161 6.005
2.161 2.161 -6.005
V Ni Ge
1 4 2
Direct
0.000 0.000 0.000
0.000 0.500 0.500
0.185 0.185 0.000
0.500 0.000 0.500
0.815 0.815 0.000
0.381 0.381 0.000
0.619 0.619 0.000
```

Properties
Space-group type   I4/mmm (139)
Formation enthalpy at 0 K   448.7 kJ/mol of formula units
Density   6379 kg/m³
DFT total energy   -5.261 eV per atom
Energy above the lowest structure with this stoichiometry   578 kJ/mol of formula units

First-principles (PBE) data for crystalline Te2RuSeI at its relaxed geometry, as listed in Alexandria via LeMat-Bulk.

Structure (POSCAR):
```
Te2RuSeI
1.0
5.148 0.000 0.000
0.000 5.148 0.000
0.000 0.000 5.423
Te Ru Se I
2 1 1 1
Direct
0.000 0.500 0.000
0.500 0.000 0.000
0.000 0.000 0.000
0.500 0.500 0.500
0.000 0.000 0.500
```

Properties
Space-group type   P4/mmm (123)
Density   6495 kg/m³
DFT total energy   -3.563 eV per atom
Raw formation energy   556 meV per atom
Energy above the lowest structure with this stoichiometry   0 kJ/mol of formula units

First-principles (PBE) data for crystalline CdRuBr2 at its relaxed geometry, as listed in Alexandria via LeMat-Bulk.

Structure (POSCAR):
```
CdRuBr2
1.0
5.451 0.000 0.000
0.000 3.763 0.000
-2.713 0.000 6.222
Cd Ru Br
1 1 2
Direct
0.000 0.000 0.000
0.500 0.000 0.000
0.369 0.500 0.737
0.631 0.500 0.263
```

Properties
Space-group type   P2/m (10)
Density   4857 kg/m³
DFT total energy   -3.368 eV per atom
Raw formation energy   16 meV per atom
Energy above the lowest structure with this stoichiometry   19 kJ/mol of formula units

First-principles (PBE) data for crystalline RbTl2GaIr at its relaxed geometry, as listed in Alexandria via LeMat-Bulk.

Structure (POSCAR):
```
RbTl2GaIr
1.0
5.412 0.000 0.000
0.000 5.412 0.000
0.000 0.000 4.944
Rb Tl Ga Ir
1 2 1 1
Direct
0.000 0.000 0.000
0.000 0.500 0.500
0.500 0.000 0.500
0.500 0.500 0.000
0.500 0.500 0.500
```

Properties
Space-group type   P4/mmm (123)
Formation enthalpy at 0 K   -14.8 kJ/mol of formula units
Density   8671 kg/m³
DFT total energy   -3.548 eV per atom

First-principles (PBE) data for crystalline TbZnPtO4 at its relaxed geometry, as listed in Alexandria via LeMat-Bulk.

Structure (POSCAR):
```
TbZnPtO4
1.0
-3.177 3.382 4.479
3.177 -3.382 4.479
3.177 3.382 -4.479
Tb Zn Pt O
2 2 2 8
Direct
0.000 0.000 0.000
0.500 0.000 0.500
0.368 0.618 0.750
0.632 0.382 0.250
0.000 0.000 0.500
0.000 0.500 0.000
0.193 0.741 0.452
0.211 0.259 0.952
0.278 0.260 0.481
0.278 0.797 0.019
0.722 0.203 0.981
0.722 0.740 0.519
0.789 0.741 0.048
0.807 0.259 0.548
```

Properties
Space-group type   Imma (74)
Density   8341 kg/m³
DFT total energy   -6.174 eV per atom
Raw formation energy   -1635 meV per atom